The following is a DFT calculation (PBE) of a geometry-optimized La2TiVCd structure.

Output
- Total magnetic moment: 1.52 μB/f.u.
- Energy of formation: 0.560 eV/atom
- Electronic total energy: -4.997 eV per atom

a = 5.7061 Å, b = 5.7061 Å, c = 4.4254 Å
α = 90.00°, β = 90.00°, γ = 90.00°
Space group P4/mmm (No. 123)
One atom of each set of equivalent atoms:
La (0.0000, 0.5000, 0.0000) [2 per cell]
Ti (0.0000, 0.0000, 0.0000) [1 per cell]
V (0.0000, 0.0000, 0.5000) [1 per cell]
Cd (0.5000, 0.5000, 0.5000) [1 per cell]